[1]
Pm12Tl2Si5: optimized geometry, PBE.

## Properties
* SG: C2/m
* E: -4.9585 eV per atom
* formation energy (no corrections): -0.2819 eV per atom
* volume: 30.41 A^3/atom

POSCAR file:
```
Pm12Tl2Si5
1.0
-3.696 -5.974 -0.105
2.573 2.387 8.675
-8.244 5.128 -1.576
Pm Tl Si
12 2 5
direct
0.910 0.820 0.205 Pm
0.074 0.632 0.896 Pm
0.558 0.632 0.896 Pm
0.107 0.704 0.454 Pm
0.597 0.704 0.454 Pm
0.493 0.987 0.731 Pm
0.507 0.013 0.269 Pm
0.893 0.296 0.546 Pm
0.403 0.296 0.546 Pm
0.926 0.368 0.104 Pm
0.442 0.368 0.104 Pm
0.090 0.180 0.795 Pm
0.777 0.000 0.000 Tl
0.223 0.000 0.000 Tl
0.294 0.589 0.650 Si
0.330 0.660 0.184 Si
0.000 0.000 0.500 Si
0.670 0.340 0.816 Si
0.706 0.411 0.350 Si
```

---

[2]
Pm5TlSi2: optimized geometry, PBE.

## Properties
* SG: I4/mcm
* E: -5.1559 eV per atom
* formation energy (no corrections): -0.5352 eV per atom
* volume: 28.08 A^3/atom

POSCAR file:
```
Pm5TlSi2
1.0
7.849 0.000 0.000
0.000 7.849 0.000
-3.925 -3.925 7.293
Pm Tl Si
10 2 4
direct
0.536 0.688 0.723 Pm
0.812 0.964 0.277 Pm
0.000 0.000 0.000 Pm
0.500 0.500 0.000 Pm
0.188 0.036 0.723 Pm
0.688 0.188 0.723 Pm
0.036 0.536 0.723 Pm
0.312 0.812 0.277 Pm
0.964 0.464 0.277 Pm
0.464 0.312 0.277 Pm
0.750 0.750 0.500 Tl
0.250 0.250 0.500 Tl
0.119 0.381 0.000 Si
0.619 0.119 0.000 Si
0.381 0.881 0.000 Si
0.881 0.619 0.000 Si
```

---

[3]
Pm8TlSi2: optimized geometry, PBE.

## Properties
* SG: C2/m
* E: -4.9251 eV per atom
* formation energy (no corrections): -0.2690 eV per atom
* volume: 30.12 A^3/atom

POSCAR file:
```
Pm8TlSi2
1.0
5.693 -0.123 -0.184
-1.107 8.099 -0.269
-1.107 -3.367 7.371
Pm Tl Si
8 1 2
direct
0.924 0.926 0.681 Pm
0.924 0.681 0.926 Pm
0.296 0.595 0.595 Pm
0.500 0.755 0.245 Pm
0.500 0.245 0.755 Pm
0.704 0.405 0.405 Pm
0.076 0.319 0.074 Pm
0.076 0.074 0.319 Pm
0.500 0.000 0.000 Tl
0.000 0.308 0.692 Si
0.000 0.692 0.308 Si
```

---

[4]
Pm6Tl2Si: optimized geometry, PBE.

## Properties
* SG: P-62m
* E: -4.6458 eV per atom
* formation energy (no corrections): -0.3503 eV per atom
* volume: 30.15 A^3/atom

POSCAR file:
```
Pm6Tl2Si
1.0
4.328 0.000 0.000
0.000 8.509 0.000
0.000 -4.254 7.369
Pm Tl Si
6 2 1
direct
0.500 0.605 0.000 Pm
0.500 0.395 0.395 Pm
0.500 0.000 0.605 Pm
0.000 0.252 0.000 Pm
0.000 0.748 0.748 Pm
0.000 0.000 0.252 Pm
0.000 0.333 0.667 Tl
0.000 0.667 0.333 Tl
0.500 0.000 0.000 Si
```

---

[5]
Pm8Tl2Si: optimized geometry, PBE.

## Properties
* SG: C2/m
* E: -4.6124 eV per atom
* formation energy (no corrections): -0.2341 eV per atom
* volume: 30.63 A^3/atom

POSCAR file:
```
Pm8Tl2Si
1.0
5.250 0.000 0.000
0.000 6.904 0.117
-2.625 -2.771 9.249
Pm Tl Si
8 2 1
direct
0.410 0.543 0.821 Pm
0.652 0.987 0.304 Pm
0.788 0.686 0.577 Pm
0.989 0.225 0.978 Pm
0.212 0.314 0.423 Pm
0.348 0.013 0.696 Pm
0.590 0.457 0.179 Pm
0.011 0.775 0.022 Pm
0.823 0.254 0.646 Tl
0.177 0.746 0.354 Tl
0.500 0.000 0.000 Si
```

---

[6]
Pm4TlSi2: optimized geometry, PBE.

## Properties
* SG: R-3m
* E: -4.9925 eV per atom
* formation energy (no corrections): -0.3904 eV per atom
* volume: 29.82 A^3/atom

POSCAR file:
```
Pm4TlSi2
1.0
-3.005 -3.487 -1.066
0.447 -4.222 2.075
-7.407 0.646 8.289
Pm Tl Si
4 1 2
direct
0.388 0.388 0.836 Pm
0.200 0.200 0.399 Pm
0.800 0.800 0.601 Pm
0.612 0.612 0.164 Pm
0.000 0.000 0.000 Tl
0.099 0.099 0.703 Si
0.901 0.901 0.297 Si
```

---

[7]
Pm4TlSi3: optimized geometry, PBE.

## Properties
* SG: Pmm2
* E: -5.3275 eV per atom
* formation energy (no corrections): -0.6227 eV per atom
* volume: 25.45 A^3/atom

POSCAR file:
```
Pm4TlSi3
1.0
4.491 0.000 0.000
0.000 4.059 0.000
0.000 0.000 11.171
Pm Tl Si
4 1 3
direct
0.500 0.500 0.370 Pm
0.000 0.500 0.853 Pm
0.000 0.000 0.150 Pm
0.500 0.000 0.637 Pm
0.500 0.500 0.077 Tl
0.000 0.500 0.574 Si
0.000 0.000 0.430 Si
0.500 0.000 0.909 Si
```

---

[8]
Pm4Tl2Si: optimized geometry, PBE.

## Properties
* SG: C2/m
* E: -4.4677 eV per atom
* formation energy (no corrections): -0.3023 eV per atom
* volume: 31.18 A^3/atom

POSCAR file:
```
Pm4Tl2Si
1.0
-0.387 0.578 -3.936
-5.181 -4.194 -0.106
-2.035 8.286 3.446
Pm Tl Si
4 2 1
direct
0.911 0.269 0.822 Pm
0.089 0.731 0.178 Pm
0.617 0.262 0.234 Pm
0.383 0.738 0.766 Pm
0.742 0.792 0.483 Tl
0.258 0.208 0.517 Tl
0.000 0.000 0.000 Si
```